No. 1
Compound: Pu2Ru2C3
Source: the Alexandria database
Functional: GGA-PBE
Structure: relaxed

calculated formation energy: -0.048 eV per atom

a = 5.9957 Å, b = 5.9957 Å, c = 5.5492 Å
α = 112.97°, β = 112.97°, γ = 33.01°
Last column: nearest neighbours and their distance in Å.
Fractional positions:
Pu 0.1029 0.1029 0.3102  5 C 2.38-2.56
Pu 0.8971 0.8971 0.6898  5 C 2.38-2.56
Ru 0.3381 0.3381 0.1736  4 C 2.00-2.09
Ru 0.6619 0.6619 0.8264  4 C 2.00-2.09
C 0.2480 0.2480 0.7617  3 Ru 2.07-2.09
C 0.5000 0.5000 0.5000  2 Ru 2.00
C 0.7520 0.7520 0.2383  3 Ru 2.07-2.09



No. 2
Compound: TaAgSbI2
Source: the Alexandria database
Functional: GGA-PBE
Structure: relaxed

energy above the most stable polymorph in this dataset: 0 meV/atom
uncorrected formation energy: 0.547 eV per atom

a = 5.4916 Å, b = 5.4916 Å, c = 5.5257 Å
α = 90.00°, β = 90.00°, γ = 90.00°
Last column: nearest neighbours and their distance in Å.
Fractional positions:
Ta 0.0000 0.0000 0.0000  4 I 2.75, 2 Sb 2.76
Ag 0.5000 0.5000 0.5000  4 Sb 3.88, 8 I 3.90
Sb 0.0000 0.0000 0.5000  2 Ta 2.76
I 0.0000 0.5000 0.0000  2 Ta 2.75
I 0.5000 0.0000 0.0000  2 Ta 2.75